Run i
Entry from the Alexandria database: a relaxed structure of Zr2Sn2Pt (PBE).

Cell and atoms, written as CIF:
```
data_Zr2Sn2Pt
_symmetry_space_group_name_H-M 'P 4/m b m'
_symmetry_Int_Tables_number 127
_symmetry_space_group_name_Hall '-P 4 2ab'
_cell_length_a 6.952
_cell_length_b 6.952
_cell_length_c 4.455
_cell_angle_alpha 90.00
_cell_angle_beta 90.00
_cell_angle_gamma 90.00
loop_
_atom_site_label
_atom_site_fract_x
_atom_site_fract_y
_atom_site_fract_z
Zr1 0.164 0.336 0.000
Sn1 0.143 0.643 0.500
Pt1 0.000 0.000 0.500
```

***

Run ii
Entry from the Alexandria database: a relaxed structure of Zr2Sn2Pt (PBE).

Cell and atoms, written as CIF:
```
data_Zr2Sn2Pt
_symmetry_space_group_name_H-M 'P 4/m b m'
_symmetry_Int_Tables_number 127
_symmetry_space_group_name_Hall '-P 4 2ab'
_cell_length_a 7.152
_cell_length_b 7.152
_cell_length_c 4.551
_cell_angle_alpha 90.00
_cell_angle_beta 90.00
_cell_angle_gamma 90.00
loop_
_atom_site_label
_atom_site_fract_x
_atom_site_fract_y
_atom_site_fract_z
Zr1 0.163 0.337 0.000
Sn1 0.148 0.648 0.500
Pt1 0.000 0.000 0.000
```

***

Of them, the most stable is run i and the least stable is run ii.

***

Run i
Entry from the Alexandria database: a relaxed structure of Sr3Pt2 (PBE).

Cell and atoms, written as CIF:
```
data_Sr3Pt2
_symmetry_space_group_name_H-M 'R -3'
_symmetry_Int_Tables_number 148
_symmetry_space_group_name_Hall '-R 3'
_cell_length_a 9.3596
_cell_length_b 9.3596
_cell_length_c 17.8770
_cell_angle_alpha 90.00
_cell_angle_beta 90.00
_cell_angle_gamma 120.00
loop_
_atom_site_label
_atom_site_fract_x
_atom_site_fract_y
_atom_site_fract_z
Sr1 0.0000 0.0000 0.0000
Sr2 0.0000 0.0000 0.2007
Sr3 0.0125 0.7477 0.5933
Pt1 0.0212 0.4129 0.5663
```

***

Run ii
Entry from the Alexandria database: a relaxed structure of Sr3Pt2 (PBE).

Cell and atoms, written as CIF:
```
data_Sr3Pt2
_symmetry_space_group_name_H-M 'R -3 c'
_symmetry_Int_Tables_number 167
_symmetry_space_group_name_Hall '-R 3 2"c'
_cell_length_a 7.5985
_cell_length_b 7.5985
_cell_length_c 20.0584
_cell_angle_alpha 90.00
_cell_angle_beta 90.00
_cell_angle_gamma 120.00
loop_
_atom_site_label
_atom_site_fract_x
_atom_site_fract_y
_atom_site_fract_z
Sr1 0.0000 0.3527 0.2500
Pt1 0.0000 0.0000 0.1781
```

***

Of them, the most stable is run i and the least stable is run ii.